Below is LiFe2OF5 after structural relaxation, with properties calculated at the PBE+U level.

Results
total magnetization	0.05	Bohr magnetons per cell
E_tot	-5.027	eV/atom
E above lowest polymorph	382.3	meV/atom

a b c (Å): 4.438 8.442 8.606
angles (deg): 60.81 88.25 87.27
Space group P1 (No. 1)
One atom of each set of equivalent atoms:
Li 0.000 0.000 0.000
Li 0.020 0.670 0.662
Li 0.516 0.342 0.331
Fe 0.025 0.649 0.011
Fe 0.028 0.325 0.663
Fe 0.035 0.010 0.339
Fe 0.498 0.002 0.684
Fe 0.498 0.349 0.991
Fe 0.506 0.686 0.336
O 0.252 0.112 0.778
O 0.267 0.793 0.437
O 0.272 0.448 0.104
F 0.241 0.768 0.119
F 0.258 0.126 0.108
F 0.258 0.778 0.786
F 0.261 0.442 0.774
F 0.277 0.450 0.450
F 0.278 0.117 0.457
F 0.746 0.228 0.213
F 0.753 0.218 0.566
F 0.757 0.564 0.228
F 0.758 0.874 0.903
F 0.766 0.900 0.230
F 0.771 0.234 0.884
F 0.776 0.556 0.891
F 0.777 0.905 0.562
F 0.782 0.549 0.559